## KGa3Se (GGA-PBE)

Data for KGa3Se after structural relaxation.

Unit cell a=5.7638 b=5.7638 c=5.7638 alpha=90.00 beta=90.00 gamma=90.00
Element x y z (fractional)
K1 0.0000 0.0000 0.0000
Ga1 0.0000 0.0000 0.5000
Ga2 0.0000 0.5000 0.0000
Ga3 0.5000 0.0000 0.0000
Se1 0.5000 0.5000 0.5000

ΔE_f (raw) ... 945 meV per atom
Distance to the lowest polymorph of the same formula ... 362.3 kJ/mol of formula units
Space-group type ... No. 221
DOS at the Fermi energy ... 0.540 states/eV/atom